Computed, not measured: Ho5IrSe4 after structural relaxation at the PBE-GGA level of DFT.

Unit cell a=4.0390 b=4.0390 c=14.8874 alpha=97.80 beta=97.80 gamma=90.00
Sites, in units of the cell vectors:
1 Se 0.6057 0.6057 0.2114
2 Se 0.1943 0.1943 0.3886
3 Ho 0.0917 0.0917 0.1835
4 Ho 0.2933 0.2933 0.5867
5 Se 0.8057 0.8057 0.6114
6 Se 0.3943 0.3943 0.7886
7 Ho 0.7067 0.7067 0.4133
8 Ir 0.0000 0.0000 0.0000
9 Ho 0.5000 0.5000 0.0000
10 Ho 0.9083 0.9083 0.8165

## Properties
space-group type = I4/mmm, No. 139
M_tot = 0.0 μB/cell
raw formation energy = -1539 meV per atom
calculated total energy = -6.108 eV per atom
N(E_F) = 0.45 states/eV/atom